No. 1
Computed, not measured: a geometry-optimized AcTb3Sm5 structure at the GGA-PBE level of DFT.

energy of formation = 1.9 kcal/mol of atoms
excess energy over the best structure of this formula in the dataset = 0 meV per atom
DOS(E_F) = 1.577 states/eV/atom

Unit cell a=15.387 b=9.948 c=9.165 alpha=90.00 beta=118.66 gamma=90.00
Space group C2/c (No. 15)
Unique sites:
Ac1 0.000 0.068 0.250 [4 per cell]
Tb1 0.084 0.258 0.664 [8 per cell]
Tb2 0.250 0.250 0.500 [4 per cell]
Sm1 0.000 0.418 0.250 [4 per cell]
Sm2 0.162 0.406 0.072 [8 per cell]
Sm3 0.179 0.079 0.104 [8 per cell]

No. 2
Computed, not measured: a geometry-optimized Nb2VSnHg structure at the GGA-PBE level of DFT.

energy of formation = 36.0 kcal/mol of atoms
DOS(E_F) = 1.738 states/eV/atom

Unit cell a=5.080 b=5.080 c=4.777 alpha=90.00 beta=90.00 gamma=90.00
Space group P4/mmm (No. 123)
Unique sites:
Nb1 0.000 0.500 0.000 [2 per cell]
V1 0.000 0.000 0.500 [1 per cell]
Sn1 0.000 0.000 0.000 [1 per cell]
Hg1 0.500 0.500 0.500 [1 per cell]

No. 3
Computed, not measured: a geometry-optimized IrRuAu2 structure at the GGA-PBE level of DFT.

energy of formation = 9.9 kcal/mol of atoms
excess energy over the best structure of this formula in the dataset = 262 meV per atom
DOS(E_F) = 1.135 states/eV/atom

Unit cell a=2.8264 b=2.8264 c=27.7724 alpha=90.00 beta=90.00 gamma=120.00
Space group R-3m (No. 166, hexagonal axes)
Unique sites:
Ir1 0.0000 0.0000 0.0000 [3 per cell]
Ru1 0.0000 0.0000 0.5000 [3 per cell]
Au1 0.0000 0.0000 0.2492 [6 per cell]

No. 4
Computed, not measured: a geometry-optimized Th6IrC3S2 structure at the GGA-PBE level of DFT.

DOS(E_F) = 0.357 states/eV/atom
formation energy (no corrections) = -0.9636 eV/atom

Unit cell a=17.366 b=3.852 c=8.070 alpha=90.00 beta=105.71 gamma=90.00
Space group C2/m (No. 12)
Unique sites:
Th1 0.008 0.000 0.235 [4 per cell]
Th2 0.160 0.500 0.104 [4 per cell]
Th3 0.173 0.500 0.563 [4 per cell]
Ir1 0.000 0.500 0.500 [2 per cell]
C1 0.000 0.500 0.000 [2 per cell]
C2 0.168 0.000 0.330 [4 per cell]
S1 0.168 0.000 0.837 [4 per cell]

No. 5
Computed, not measured: a geometry-optimized Y2In2Co structure at the GGA-PBE level of DFT.

energy of formation = -3.0 kcal/mol of atoms
DOS(E_F) = 1.248 states/eV/atom

Unit cell a=7.191 b=7.191 c=4.635 alpha=90.00 beta=90.00 gamma=90.00
Space group P4/mbm (No. 127)
Unique sites:
Y1 0.169 0.331 0.000 [4 per cell]
In1 0.143 0.643 0.500 [4 per cell]
Co1 0.000 0.000 0.500 [2 per cell]

No. 6
Computed, not measured: a geometry-optimized K3ErSc2Se6 structure at the GGA-PBE level of DFT.

DOS(E_F) = 0.000 states/eV/atom
formation energy (no corrections) = -1.6637 eV/atom

Unit cell a=7.048 b=12.208 c=7.991 alpha=90.00 beta=107.12 gamma=90.00
Space group C2/m (No. 12)
Unique sites:
K1 0.000 0.000 0.000 [2 per cell]
K2 0.000 0.335 0.000 [4 per cell]
Er1 0.000 0.500 0.500 [2 per cell]
Sc1 0.000 0.167 0.500 [4 per cell]
Se1 0.223 0.000 0.698 [4 per cell]
Se2 0.238 0.328 0.698 [8 per cell]

No. 7
Computed, not measured: a geometry-optimized Zr2SbPb structure at the GGA-PBE level of DFT.

excess energy over the best structure of this formula in the dataset = 35 meV per atom
DOS(E_F) = 0.683 states/eV/atom
formation energy (no corrections) = -0.3088 eV/atom

Unit cell a=3.493 b=3.493 c=7.762 alpha=90.00 beta=90.00 gamma=90.00
Space group P4/mmm (No. 123)
Unique sites:
Zr1 0.000 0.000 0.221 [2 per cell]
Sb1 0.500 0.500 0.000 [1 per cell]
Pb1 0.500 0.500 0.500 [1 per cell]

No. 8
Computed, not measured: a geometry-optimized La2SiPb structure at the GGA-PBE level of DFT.

excess energy over the best structure of this formula in the dataset = 567 meV per atom
DOS(E_F) = 1.250 states/eV/atom
formation energy (no corrections) = 0.0053 eV/atom

Unit cell a=7.640 b=7.640 c=7.640 alpha=90.00 beta=90.00 gamma=90.00
Space group F-43m (No. 216)
Unique sites:
La1 0.000 0.000 0.000 [4 per cell]
La2 0.250 0.250 0.250 [4 per cell]
Si1 0.250 0.250 0.750 [4 per cell]
Pb1 0.000 0.000 0.500 [4 per cell]

No. 9
Computed, not measured: a geometry-optimized H2Pb3Cl2O4 structure at the GGA-PBE level of DFT.

DOS(E_F) = 0.088 states/eV/atom
energy = -0.3071 Ry per atom

Unit cell a=3.732 b=3.732 c=24.973 alpha=90.00 beta=90.00 gamma=90.00
Space group I4/mmm (No. 139)
Unique sites:
H1 0.000 0.000 0.059 [4 per cell]
Pb1 0.000 0.000 0.369 [4 per cell]
Pb2 0.000 0.000 0.500 [2 per cell]
Cl1 0.000 0.000 0.187 [4 per cell]
O1 0.000 0.500 0.057 [8 per cell]

No. 10
Computed, not measured: a geometry-optimized Zr2SbAs structure at the GGA-PBE level of DFT.

DOS(E_F) = 0.756 states/eV/atom
formation energy (no corrections) = -0.2891 eV/atom

Unit cell a=4.042 b=5.097 c=9.577 alpha=90.00 beta=90.00 gamma=90.00
Space group Cmm2 (No. 35)
Unique sites:
Zr1 0.000 0.000 0.000 [2 per cell]
Zr2 0.000 0.500 0.247 [2 per cell]
Sb1 0.000 0.000 0.480 [2 per cell]
As1 0.000 0.500 0.821 [2 per cell]

No. 11
Computed, not measured: a geometry-optimized AsRu3 structure at the GGA-PBE level of DFT.

energy of formation = 4.9 kcal/mol of atoms
excess energy over the best structure of this formula in the dataset = 147 meV per atom
DOS(E_F) = 1.080 states/eV/atom

Unit cell a=2.813 b=3.732 c=5.466 alpha=90.00 beta=90.00 gamma=90.00
Space group Pmmm (No. 47)
Unique sites:
As1 0.000 0.000 0.000 [1 per cell]
Ru1 0.000 0.000 0.500 [1 per cell]
Ru2 0.500 0.500 0.255 [2 per cell]

No. 12
Computed, not measured: a geometry-optimized Pu3H12Ru5 structure at the GGA-PBE level of DFT.

DOS(E_F) = 1.693 states/eV/atom
energy = -0.4817 Ry per atom

Unit cell a=11.528 b=11.528 c=11.528 alpha=90.00 beta=90.00 gamma=90.00
Space group Ia-3d (No. 230)
Unique sites:
Pu1 0.000 0.250 0.125 [24 per cell]
H1 0.037 0.056 0.638 [96 per cell]
Ru1 0.000 0.000 0.000 [16 per cell]
Ru2 0.000 0.250 0.375 [24 per cell]

| no. | magnetic moment (μB/atom) |
| --- | --- |
| 1 | 0.0000 |
| 2 | 0.0003 |
| 3 | 0.0378 |
| 4 | 0.0000 |
| 5 | 0.0000 |
| 6 | 0.0000 |
| 7 | 0.0000 |
| 8 | 0.0001 |
| 9 | 0.0000 |
| 10 | 0.0000 |
| 11 | 0.0000 |
| 12 | 0.6954 |